i | Computed, not measured: a geometry-optimized ZnNi3Rh3 structure at the GGA-PBE level of DFT.

## Properties
Total magnetic moment, μB per cell: 6.885

```
ZnNi3Rh3
1.0
-4.716 -4.788 -1.775
0.583 -3.378 -6.047
0.988 -5.768 -0.678
Ni Rh Zn
6 6 2
Direct
0.812 0.536 0.257
0.464 0.605 0.743
0.188 0.464 0.743
0.395 0.812 0.257
0.536 0.395 0.257
0.605 0.188 0.743
0.672 0.961 0.250
0.961 0.117 0.250
0.039 0.883 0.750
0.117 0.672 0.250
0.328 0.039 0.750
0.883 0.328 0.750
0.745 0.745 0.765
0.255 0.255 0.235
```

***

ii | Computed, not measured: a geometry-optimized ZnNi3Rh3 structure at the GGA-PBE level of DFT.

## Properties
Total magnetic moment, μB per cell: 4.608

```
ZnNi3Rh3
1.0
5.893 0.605 2.769
1.999 5.577 2.769
0.772 0.605 6.465
Ni Rh Zn
6 6 2
Direct
0.665 0.803 0.105
0.105 0.665 0.803
0.335 0.197 0.895
0.803 0.105 0.665
0.895 0.335 0.197
0.197 0.895 0.335
0.439 0.751 0.933
0.751 0.933 0.439
0.249 0.067 0.561
0.067 0.561 0.249
0.933 0.439 0.751
0.561 0.249 0.067
0.577 0.577 0.577
0.423 0.423 0.423
```

***

Most favorable structure: i. The second most favorable one is 16.1 kJ/mol of atoms above it.

***

i | Computed, not measured: a geometry-optimized Zn2NiRh2 structure at the GGA-PBE level of DFT.

## Properties
Total magnetic moment, μB per cell: 2.611

```
Zn2NiRh2
1.0
-4.358 -1.475 4.921
2.920 -6.020 0.782
2.017 1.259 2.164
Rh Zn Ni
4 4 2
Direct
0.860 0.640 0.000
0.140 0.360 0.000
0.640 0.140 0.000
0.360 0.860 0.000
0.160 0.660 0.500
0.660 0.840 0.500
0.840 0.340 0.500
0.340 0.160 0.500
0.500 0.500 0.000
0.000 0.000 0.000
```

***

ii | Computed, not measured: a geometry-optimized Zn2NiRh2 structure at the GGA-PBE level of DFT.

## Properties
Total magnetic moment, μB per cell: 1.839

```
Zn2NiRh2
1.0
6.685 0.000 0.000
0.000 6.685 0.000
0.000 0.000 3.156
Rh Zn Ni
4 4 2
Direct
0.166 0.666 0.500
0.834 0.334 0.500
0.334 0.166 0.500
0.666 0.834 0.500
0.865 0.635 0.000
0.635 0.135 0.000
0.365 0.865 0.000
0.135 0.365 0.000
0.000 0.000 0.000
0.500 0.500 0.000
```

***

Most favorable structure: ii. The second most favorable one is 2.0 kJ/mol of atoms above it.

***

i | Computed, not measured: a geometry-optimized ZnNi6Rh2 structure at the GGA-PBE level of DFT.

## Properties
Total magnetic moment, μB per cell: 9.215

```
ZnNi6Rh2
1.0
6.820 2.824 5.981
3.917 6.257 5.981
4.074 3.446 11.401
Ni Rh Zn
12 4 2
Direct
0.160 0.830 0.590
0.170 0.840 0.910
0.503 0.835 0.190
0.165 0.497 0.310
0.833 0.501 0.031
0.835 0.503 0.690
0.167 0.499 0.969
0.830 0.160 0.090
0.840 0.170 0.410
0.499 0.167 0.469
0.497 0.165 0.810
0.501 0.833 0.531
0.175 0.495 0.638
0.825 0.505 0.362
0.495 0.175 0.138
0.505 0.825 0.862
0.839 0.161 0.750
0.161 0.839 0.250
```

***

ii | Computed, not measured: a geometry-optimized ZnNi6Rh2 structure at the GGA-PBE level of DFT.

## Properties
Total magnetic moment, μB per cell: 5.144

```
ZnNi6Rh2
1.0
-2.893 -1.959 -0.969
-1.368 -2.878 3.120
-5.836 3.418 3.727
Zn Ni Rh
1 6 2
Direct
0.000 0.500 0.500
0.003 0.834 0.160
0.997 0.166 0.840
0.664 0.058 0.613
0.662 0.730 0.946
0.338 0.270 0.054
0.336 0.942 0.387
0.673 0.383 0.271
0.327 0.617 0.729
```

***

Most favorable structure: ii. The second most favorable one is 2.3 kJ/mol of atoms above it.

***

i | Computed, not measured: a geometry-optimized ZnNi4Rh structure at the GGA-PBE level of DFT.

## Properties
Total magnetic moment, μB per cell: 1.811

```
ZnNi4Rh
1.0
0.000 3.317 3.317
3.317 0.000 3.317
3.317 3.317 0.000
Ni Rh Zn
4 1 1
Direct
0.875 0.375 0.375
0.375 0.875 0.375
0.375 0.375 0.875
0.375 0.375 0.375
0.750 0.750 0.750
0.000 0.000 0.000
```

***

ii | Computed, not measured: a geometry-optimized ZnNi4Rh structure at the GGA-PBE level of DFT.

## Properties
Total magnetic moment, μB per cell: 5.357

```
ZnNi4Rh
1.0
-3.490 1.606 4.937
-4.727 1.480 -3.822
2.659 -5.495 -0.296
Ni Rh Zn
8 2 2
Direct
0.638 0.146 0.005
0.141 0.362 0.995
0.612 0.604 0.495
0.366 0.859 0.005
0.109 0.388 0.505
0.884 0.891 0.495
0.396 0.116 0.505
0.854 0.634 0.995
0.000 0.000 0.000
0.250 0.750 0.500
0.500 0.500 0.000
0.750 0.250 0.500
```

***

iii | Computed, not measured: a geometry-optimized ZnNi4Rh structure at the GGA-PBE level of DFT.

## Properties
Total magnetic moment, μB per cell: 4.988

```
ZnNi4Rh
1.0
4.134 0.000 0.000
0.000 6.476 0.000
-2.067 0.000 6.180
Ni Zn Rh
8 2 2
Direct
0.260 0.424 0.520
0.000 0.500 0.000
0.557 0.750 0.113
0.260 0.076 0.520
0.000 0.000 0.000
0.443 0.250 0.887
0.740 0.924 0.480
0.740 0.576 0.480
0.369 0.750 0.738
0.631 0.250 0.262
0.159 0.750 0.318
0.841 0.250 0.682
```

***

Most favorable structure: i. The second most favorable one is 27.7 kJ/mol of atoms above it.